An optimized crystal structure of LaBe3O. Source: Alexandria via LeMat-Bulk, functional PBE-GGA.

Its density of states at the Fermi level is 3.40 states/eV/cell. The total moment is 0.00 μB per cell. The value obtained for the energy above the lowest structure with this stoichiometry is 0 meV per atom. As for the crystal system: cubic.

The space group is Pm-3m (No. 221) and the conventional cell measures 4.138, 4.138 and 4.138 Å, with angles of 90.00, 90.00 and 90.00 degrees. The asymmetric unit holds La at (0.000, 0.000, 0.000), Be at (0.000, 0.500, 0.500) and O at (0.500, 0.500, 0.500).

---

An optimized crystal structure of LaBe2O. Source: Alexandria via LeMat-Bulk, functional PBE-GGA.

Its density of states at the Fermi level is 27.85 states/eV/cell. The total moment is 0.00 μB per cell. As for the total energy: -4.80 eV/atom. As for the crystal system: cubic.

The space group is Fd-3m (No. 227, origin choice 2) and the conventional cell measures 7.916, 7.916 and 7.916 Å, with angles of 90.00, 90.00 and 90.00 degrees. The asymmetric unit holds La at (0.125, 0.125, 0.125), Be at (0.000, 0.000, 0.500) and O at (0.125, 0.125, 0.625).

---

An optimized crystal structure of La2BeO4. Source: Alexandria via LeMat-Bulk, functional PBE-GGA.

Its density of states at the Fermi level is 0.00 states/eV/cell. The total moment is 0.00 μB per cell. As for the total energy: -7.93 eV/atom. As for the crystal system: monoclinic.

The space group is P2_1/m (No. 11) and the conventional cell measures 5.258, 5.406 and 6.983 Å, with angles of 90.00, 108.71 and 90.00 degrees. The asymmetric unit holds La at (0.211, 0.250, 0.034), La at (0.278, 0.250, 0.565), Be at (0.226, 0.750, 0.788), O at (0.026, 0.513, 0.730), O at (0.377, 0.750, 0.043) and O at (0.439, 0.750, 0.654).

---

An optimized crystal structure of LaBeO3. Source: Alexandria via LeMat-Bulk, functional PBE-GGA.

Its density of states at the Fermi level is 2.72 states/eV/cell. The total moment is 1.00 μB per cell. As for the total energy: -7.20 eV/atom. As for the crystal system: cubic.

The space group is Pm-3m (No. 221) and the conventional cell measures 3.665, 3.665 and 3.665 Å, with angles of 90.00, 90.00 and 90.00 degrees. The asymmetric unit holds La at (0.000, 0.000, 0.000), Be at (0.500, 0.500, 0.500) and O at (0.000, 0.500, 0.500).

---

An optimized crystal structure of La12Be3O5. Source: Alexandria via LeMat-Bulk, functional PBE-GGA.

Its density of states at the Fermi level is 150.84 states/eV/cell. The total moment is 0.00 μB per cell. As for the total energy: -6.03 eV/atom. As for the crystal system: cubic.

The space group is Ia-3d (No. 230) and the conventional cell measures 16.043, 16.043 and 16.043 Å, with angles of 90.00, 90.00 and 90.00 degrees. The asymmetric unit holds La at (0.035, 0.056, 0.649), Be at (0.000, 0.250, 0.125), O at (0.000, 0.000, 0.000) and O at (0.000, 0.250, 0.375).

---

An optimized crystal structure of La2BeO. Source: Alexandria via LeMat-Bulk, functional PBE-GGA.

Its density of states at the Fermi level is 27.33 states/eV/cell. The total moment is 0.02 μB per cell. The value obtained for the energy above the lowest structure with this stoichiometry is 563 meV per atom. As for the crystal system: cubic.

The space group is Fm-3m (No. 225) and the conventional cell measures 6.800, 6.800 and 6.800 Å, with angles of 90.00, 90.00 and 90.00 degrees. The asymmetric unit holds La at (0.250, 0.250, 0.250), Be at (0.000, 0.000, 0.000) and O at (0.000, 0.000, 0.500).

---

An optimized crystal structure of La2Be2O5. Source: Alexandria via LeMat-Bulk, functional PBE-GGA.

Its density of states at the Fermi level is 0.00 states/eV/cell. The total moment is 0.00 μB per cell. As for the total energy: -7.79 eV/atom. As for the crystal system: monoclinic.

The space group is C2/c (No. 15) and the conventional cell measures 7.597, 7.381 and 7.455 Å, with angles of 90.00, 91.05 and 90.00 degrees. The asymmetric unit holds La at (0.236, 0.036, 0.194), Be at (0.030, 0.282, 0.470), O at (0.000, 0.247, 0.250), O at (0.000, 0.500, 0.000), O at (0.100, 0.157, 0.916) and O at (0.250, 0.250, 0.500).

---

An optimized crystal structure of La2BeO. Source: Alexandria via LeMat-Bulk, functional PBE-GGA.

Its density of states at the Fermi level is 0.97 states/eV/cell. The total moment is 0.00 μB per cell. The value obtained for the energy above the lowest structure with this stoichiometry is 0 meV per atom. As for the crystal system: tetragonal.

The space group is I-42d (No. 122) and the conventional cell measures 6.808, 6.808 and 8.688 Å, with angles of 90.00, 90.00 and 90.00 degrees. The asymmetric unit holds La at (0.186, 0.250, 0.125), Be at (0.000, 0.000, 0.500) and O at (0.000, 0.000, 0.000).

---

An optimized crystal structure of LaBe3O. Source: Alexandria via LeMat-Bulk, functional PBE-GGA.

Its density of states at the Fermi level is 3.88 states/eV/cell. The total moment is 0.00 μB per cell. The value obtained for the energy above the lowest structure with this stoichiometry is 2022 meV per atom. As for the crystal system: cubic.

The space group is Pm-3m (No. 221) and the conventional cell measures 5.435, 5.435 and 5.435 Å, with angles of 90.00, 90.00 and 90.00 degrees. The asymmetric unit holds La at (0.000, 0.000, 0.000), Be at (0.000, 0.000, 0.500) and O at (0.500, 0.500, 0.500).

---

An optimized crystal structure of LaBePO2. Source: Alexandria via LeMat-Bulk, functional PBE-GGA.

Its density of states at the Fermi level is 5.75 states/eV/cell. The total moment is 0.00 μB per cell. The value obtained for the energy above the lowest structure with this stoichiometry is 905 meV per atom. As for the crystal system: tetragonal.

The space group is P4/mmm (No. 123) and the conventional cell measures 4.152, 4.152 and 6.468 Å, with angles of 90.00, 90.00 and 90.00 degrees. The asymmetric unit holds La at (0.000, 0.000, 0.000), Be at (0.500, 0.500, 0.500), P at (0.000, 0.000, 0.500) and O at (0.000, 0.500, 0.000).

---

An optimized crystal structure of LaBeP2O. Source: Alexandria via LeMat-Bulk, functional PBE-GGA.

Its density of states at the Fermi level is 2.65 states/eV/cell. The total moment is 0.00 μB per cell. The value obtained for the energy above the lowest structure with this stoichiometry is 0 meV per atom. As for the crystal system: tetragonal.

The space group is P4/mmm (No. 123) and the conventional cell measures 3.948, 3.948 and 5.253 Å, with angles of 90.00, 90.00 and 90.00 degrees. The asymmetric unit holds La at (0.000, 0.000, 0.000), Be at (0.500, 0.500, 0.500), P at (0.000, 0.500, 0.500) and O at (0.500, 0.500, 0.000).

---

An optimized crystal structure of LaBeP2O8. Source: Alexandria via LeMat-Bulk, functional PBE-GGA.

Its density of states at the Fermi level is 6.53 states/eV/cell. The total moment is 0.00 μB per cell. As for the total energy: -7.36 eV/atom. As for the crystal system: trigonal.

The space group is P-3m1 (No. 164) and the conventional cell measures 5.0128, 5.0128 and 6.5671 Å, with angles of 90.00, 90.00 and 120.00 degrees. The asymmetric unit holds La at (0.0000, 0.0000, 0.0000), Be at (0.0000, 0.0000, 0.5000), P at (0.3333, 0.6667, 0.7426), O at (0.1642, 0.3285, 0.6727) and O at (0.3333, 0.6667, 0.9795).